1.
# TaCuTc

A relaxed structure of TaCuTc (PBEsol, Alexandria).

Properties
N(E_F) in states/eV per cell: 4.1
Total DFT energy (no corrections) in eV for the cell shown: -55.7

a b c (Å): 2.577 4.088 8.249
angles (deg): 90.00 90.00 90.00
Space group Imm2 (No. 44)
Symmetry-distinct sites (fractional):
Ta: 0.000 0.000 0.000 x2
Cu: 0.000 0.000 0.668 x2
Tc: 0.000 0.000 0.326 x2



2.
# AlSn3S

A relaxed structure of AlSn3S (PBEsol, Alexandria).

Properties
N(E_F) in states/eV per cell: 3.0
Total DFT energy (no corrections) in eV for the cell shown: -18.6

a b c (Å): 5.183 5.183 5.183
angles (deg): 90.00 90.00 90.00
Space group Pm-3m (No. 221)
Symmetry-distinct sites (fractional):
Al: 0.000 0.000 0.000 x1
Sn: 0.000 0.000 0.500 x3
S: 0.500 0.500 0.500 x1



3.
# Be2WCl

A relaxed structure of Be2WCl (PBEsol, Alexandria).

Properties
N(E_F) in states/eV per cell: 1.3
Total DFT energy (no corrections) in eV for the cell shown: -20.9

a b c (Å): 4.434 2.740 4.627
angles (deg): 90.00 115.80 90.00
Space group P2/m (No. 10)
Symmetry-distinct sites (fractional):
Be: 0.000 0.000 0.000 x1
Be: 0.000 0.500 0.500 x1
W: 0.500 0.000 0.500 x1
Cl: 0.500 0.500 0.000 x1



4.
# AsSe2

A relaxed structure of AsSe2 (PBEsol, Alexandria).

Properties
N(E_F) in states/eV per cell: 5.7
Total DFT energy (no corrections) in eV for the cell shown: -48.9

a b c (Å): 6.046 6.046 6.752
angles (deg): 90.00 90.00 90.00
Space group I4/mcm (No. 140)
Symmetry-distinct sites (fractional):
As: 0.000 0.000 0.250 x4
Se: 0.152 0.348 0.000 x8



5.
# ZrCo3I

A relaxed structure of ZrCo3I (PBEsol, Alexandria).

Properties
N(E_F) in states/eV per cell: 7.8
Total DFT energy (no corrections) in eV for the cell shown: -28.4

a b c (Å): 4.451 4.451 4.451
angles (deg): 90.00 90.00 90.00
Space group Pm-3m (No. 221)
Symmetry-distinct sites (fractional):
Zr: 0.000 0.000 0.000 x1
Co: 0.000 0.500 0.500 x3
I: 0.500 0.500 0.500 x1



6.
# ZnCuTe2

A relaxed structure of ZnCuTe2 (PBEsol, Alexandria).

Properties
N(E_F) in states/eV per cell: 4.9
Total DFT energy (no corrections) in eV for the cell shown: -24.3

a b c (Å): 3.803 6.378 7.564
angles (deg): 90.00 90.00 90.00
Space group Immm (No. 71)
Symmetry-distinct sites (fractional):
Zn: 0.000 0.000 0.000 x2
Cu: 0.000 0.000 0.500 x2
Te: 0.000 0.500 0.230 x4



7.
# Li5AlCo4O10

A relaxed structure of Li5AlCo4O10 (PBEsol, Alexandria).

Properties
Total DFT energy (no corrections) in eV for the cell shown: -398.4

a b c (Å): 2.8131 2.8131 69.2118
angles (deg): 90.00 90.00 120.00
Space group R-3m (No. 166, hexagonal axes)
Symmetry-distinct sites (fractional):
Li: 0.0000 0.0000 0.0000 x3
Li: 0.0000 0.0000 0.2008 x6
Li: 0.0000 0.0000 0.3996 x6
Al: 0.0000 0.0000 0.5000 x3
Co: 0.0000 0.0000 0.0994 x6
Co: 0.0000 0.0000 0.3002 x6
O: 0.0000 0.0000 0.0475 x6
O: 0.0000 0.0000 0.1519 x6
O: 0.0000 0.0000 0.2483 x6
O: 0.0000 0.0000 0.3520 x6
O: 0.0000 0.0000 0.4471 x6



8.
# K3BiI6

A relaxed structure of K3BiI6 (PBEsol, Alexandria).

Properties
N(E_F) in states/eV per cell: 0.0
Total DFT energy (no corrections) in eV for the cell shown: -110.7

a b c (Å): 12.562 12.562 12.562
angles (deg): 90.00 90.00 90.00
Space group Fm-3m (No. 225)
Symmetry-distinct sites (fractional):
K: 0.000 0.000 0.000 x4
K: 0.250 0.250 0.250 x8
Bi: 0.000 0.000 0.500 x4
I: 0.000 0.000 0.259 x24



9.
# PtRhCl2

A relaxed structure of PtRhCl2 (PBEsol, Alexandria).

Properties
N(E_F) in states/eV per cell: 7.9
Total DFT energy (no corrections) in eV for the cell shown: -35.1

a b c (Å): 5.752 8.071 3.095
angles (deg): 90.00 118.88 90.00
Space group C2/m (No. 12)
Symmetry-distinct sites (fractional):
Pt: 0.000 0.000 0.000 x2
Rh: 0.000 0.500 0.000 x2
Cl: 0.250 0.250 0.000 x4



10.
# Li3CdGe

A relaxed structure of Li3CdGe (PBEsol, Alexandria).

Properties
N(E_F) in states/eV per cell: 2.0
Total DFT energy (no corrections) in eV for the cell shown: -10.4

a b c (Å): 4.787 4.787 4.787
angles (deg): 90.00 90.00 90.00
Space group Pm-3m (No. 221)
Symmetry-distinct sites (fractional):
Li: 0.000 0.000 0.500 x3
Cd: 0.000 0.000 0.000 x1
Ge: 0.500 0.500 0.500 x1



11.
# Sc2AsRu

A relaxed structure of Sc2AsRu (PBEsol, Alexandria).

Properties
N(E_F) in states/eV per cell: 6.0
Total DFT energy (no corrections) in eV for the cell shown: -62.0

a b c (Å): 3.811 3.811 9.255
angles (deg): 90.00 90.00 90.00
Space group I-4m2 (No. 119)
Symmetry-distinct sites (fractional):
Sc: 0.000 0.000 0.000 x2
Sc: 0.000 0.500 0.250 x2
As: 0.000 0.000 0.500 x2
Ru: 0.000 0.500 0.750 x2



12.
# InHgPO2

A relaxed structure of InHgPO2 (PBEsol, Alexandria).

Properties
N(E_F) in states/eV per cell: 3.8
Total DFT energy (no corrections) in eV for the cell shown: -19.5

a b c (Å): 3.994 3.994 5.615
angles (deg): 90.00 90.00 90.00
Space group P4/mmm (No. 123)
Symmetry-distinct sites (fractional):
In: 0.000 0.000 0.000 x1
Hg: 0.500 0.500 0.500 x1
P: 0.000 0.000 0.500 x1
O: 0.000 0.500 0.000 x2